# 1
An optimized crystal structure of SrAl3Ru. Source: Alexandria via LeMat-Bulk, functional PBE.

The calculation puts the mass density at 4.1 g cm⁻³. The formation energy comes out at -1.9 eV per formula unit. Its magnetic moment is 0.00 μB per cell.

The structure belongs to space group Pm-3m (No. 221); the cell edges are 4.779, 4.779 and 4.779 Å and the angles 90.00°, 90.00° and 90.00°. The inequivalent atoms are Sr at (0.000, 0.000, 0.000), Al at (0.000, 0.500, 0.500) and Ru at (0.500, 0.500, 0.500).

# 2
An optimized crystal structure of CeEr8Sb2. Source: Alexandria via LeMat-Bulk, functional PBE.

For the energy, the calculation gives -4.927 eV/atom. The calculation puts the mass density at 8.9 g cm⁻³. Its magnetic moment is 3.32 μB per cell.

The structure belongs to space group C2/m (No. 12); the cell edges are 18.352, 4.634 and 8.136 Å and the angles 90.00°, 111.42° and 90.00°. The inequivalent atoms are Ce at (0.000, 0.000, 0.000), Er at (0.043, 0.500, 0.763), Er at (0.090, 0.000, 0.475), Er at (0.161, 0.500, 0.243), Er at (0.181, 0.000, 0.933) and Sb at (0.207, 0.500, 0.668).

# 3
An optimized crystal structure of Y3Bi. Source: Alexandria via LeMat-Bulk, functional PBE.

The calculation puts the mass density at 6.5 g cm⁻³. The formation energy comes out at -1.1 eV per formula unit. Its magnetic moment is 0.00 μB per cell.

The structure belongs to space group Pmm2 (No. 25); the cell edges are 3.766, 5.323 and 6.048 Å and the angles 90.00°, 90.00° and 90.00°. The inequivalent atoms are Y at (0.000, 0.000, 0.000), Y at (0.000, 0.500, 0.383), Y at (0.500, 0.000, 0.526) and Bi at (0.500, 0.500, 0.870).

What did the third record say?
An optimized crystal structure of Y3Bi. Source: Alexandria via LeMat-Bulk, functional PBE.

The calculation puts the mass density at 6.5 g cm⁻³. The formation energy comes out at -1.1 eV per formula unit. Its magnetic moment is 0.00 μB per cell.

The structure belongs to space group Pmm2 (No. 25); the cell edges are 3.766, 5.323 and 6.048 Å and the angles 90.00°, 90.00° and 90.00°. The inequivalent atoms are Y at (0.000, 0.000, 0.000), Y at (0.000, 0.500, 0.383), Y at (0.500, 0.000, 0.526) and Bi at (0.500, 0.500, 0.870).

Question: What is the formula in the first record?
Answer: SrAl3Ru

Please write out number 3 again, unchanged.
An optimized crystal structure of Y3Bi. Source: Alexandria via LeMat-Bulk, functional PBE.

The calculation puts the mass density at 6.5 g cm⁻³. The formation energy comes out at -1.1 eV per formula unit. Its magnetic moment is 0.00 μB per cell.

The structure belongs to space group Pmm2 (No. 25); the cell edges are 3.766, 5.323 and 6.048 Å and the angles 90.00°, 90.00° and 90.00°. The inequivalent atoms are Y at (0.000, 0.000, 0.000), Y at (0.000, 0.500, 0.383), Y at (0.500, 0.000, 0.526) and Bi at (0.500, 0.500, 0.870).